The following is a DFT calculation (PBE-GGA) of crystalline Hg8ClO6 at its relaxed geometry.

Lattice parameters (Å, degrees): 11.7102 11.7102 9.8524 90.00 90.00 120.00
Last column: nearest neighbours and their distance in Å.
Space group R-3 (No. 148, hexagonal axes)
Symmetry-distinct sites (fractional):
Hg: 0.0000 0.0000 0.2163 x6  3 O 2.60, 1 Cl 2.80
Hg: 0.0083 0.6123 0.6325 x18  2 O 2.06-2.07
Cl: 0.0000 0.0000 0.5000 x3  2 Hg 2.80
O: 0.0143 0.2179 0.8666 x18  2 Hg 2.06-2.07

Results
**Calculated volume**: 1170.0 Å³/cell
**Raw formation energy**: -0.20 eV per atom
**Raw total energy**: -2.4677 eV per atom

=====

The following is a DFT calculation (PBE-GGA) of crystalline LaTl2CuAu at its relaxed geometry.

Lattice parameters (Å, degrees): 5.0805 5.0805 5.0148 90.00 90.00 90.00
Last column: nearest neighbours and their distance in Å.
Space group P4/mmm (No. 123)
Symmetry-distinct sites (fractional):
La: 0.0000 0.0000 0.0000 x1  8 Tl 3.57, 4 Au 3.59
Tl: 0.0000 0.5000 0.5000 x2  2 Cu 2.54
Cu: 0.5000 0.5000 0.5000 x1  2 Au 2.51, 4 Tl 2.54
Au: 0.5000 0.5000 0.0000 x1  2 Cu 2.51

Results
**Calculated volume**: 129.4 Å³/cell
**Energy of formation**: -7.9 kJ per mole of atoms
**Raw total energy**: -3.4890 eV per atom

=====

The following is a DFT calculation (PBE-GGA) of crystalline Zn8CuAu5 at its relaxed geometry.

Lattice parameters (Å, degrees): 7.8039 7.8039 7.7470 90.00 90.00 90.00
Last column: nearest neighbours and their distance in Å.
Space group I-4 (No. 82)
Symmetry-distinct sites (fractional):
Zn: 0.0759 0.1617 0.2863 x8  1 Cu 2.62, 5 Au 2.70-2.78, 2 Zn 2.77-2.79
Zn: 0.0866 0.3170 0.9647 x8  1 Cu 2.58, 5 Au 2.68-2.72, 1 Zn 2.77
Cu: 0.0000 0.0000 0.0000 x2  8 Zn 2.58-2.62
Au: 0.0000 0.5000 0.2500 x2  8 Zn 2.72
Au: 0.1175 0.2601 0.6228 x8  8 Zn 2.68-2.78

Results
**Calculated volume**: 471.8 Å³/cell
**Energy of formation**: -8.6 kJ per mole of atoms
**Raw total energy**: -2.2803 eV per atom

=====

The following is a DFT calculation (PBE-GGA) of crystalline Pr8ErTl6 at its relaxed geometry.

Lattice parameters (Å, degrees): 9.3675 9.3675 20.0740 90.00 90.00 120.00
Last column: nearest neighbours and their distance in Å.
Space group R-3 (No. 148, hexagonal axes)
Symmetry-distinct sites (fractional):
Pr: 0.0000 0.0000 0.1650 x6  6 Tl 3.36-3.37
Pr: 0.0007 0.3375 0.3875 x18  5 Tl 3.28-3.40
Er: 0.0000 0.0000 0.5000 x3  6 Tl 3.24
Tl: 0.0008 0.6768 0.4431 x18  1 Er 3.24, 7 Pr 3.28-3.40

Results
**Calculated volume**: 1525.5 Å³/cell
**Energy of formation**: -16.4 kJ per mole of atoms
**Raw total energy**: -3.9701 eV per atom

=====

The following is a DFT calculation (PBE-GGA) of crystalline Na2TaOsO6 at its relaxed geometry.

Lattice parameters (Å, degrees): 5.5734 5.5734 3.8967 90.00 90.00 90.00
Last column: nearest neighbours and their distance in Å.
Space group P4mm (No. 99)
Symmetry-distinct sites (fractional):
Na: 0.0000 0.5000 0.0000 x2  12 O 2.77-2.79
Ta: 0.0000 0.0000 0.5013 x1  6 O 1.95-1.98
Os: 0.5000 0.5000 0.5014 x1  6 O 1.95-1.96
O: 0.0000 0.0000 0.0014 x1  2 Ta 1.95
O: 0.2516 0.2516 0.5016 x4  1 Os 1.96, 1 Ta 1.98
O: 0.5000 0.5000 0.0015 x1  2 Os 1.95

Results
**Calculated volume**: 121.0 Å³/cell
**Raw formation energy**: -1.93 eV per atom
**Raw total energy**: -7.4785 eV per atom

=====

The following is a DFT calculation (PBE-GGA) of crystalline ScAsSe2Br at its relaxed geometry.

Lattice parameters (Å, degrees): 5.1208 5.1208 5.0311 90.00 90.00 90.00
Last column: nearest neighbours and their distance in Å.
Space group P4/mmm (No. 123)
Symmetry-distinct sites (fractional):
Sc: 0.0000 0.0000 0.0000 x1  8 Se 3.59, 4 Br 3.62
As: 0.5000 0.5000 0.5000 x1  2 Br 2.52, 4 Se 2.56
Se: 0.0000 0.5000 0.5000 x2  2 As 2.56
Br: 0.5000 0.5000 0.0000 x1  2 As 2.52

Results
**Calculated volume**: 131.9 Å³/cell
**Raw formation energy**: -0.03 eV per atom
**Raw total energy**: -3.9569 eV per atom